## SbAsCl2 (PBE)

Data for SbAsCl2 after structural relaxation.

abc: 3.6625 4.5619 13.8080
angles: 90.00 90.00 90.00
Last column: nearest neighbours and their distance in Å.
Atoms (fractional coordinates):
Sb: 0.0000 0.0000 0.0000  2 As 2.73
Sb: 0.5000 0.5000 0.5000  2 As 2.73
As: 0.0000 0.5000 0.3535  2 Sb 2.73, 4 Cl 2.93
As: 0.5000 0.0000 0.8535  2 Sb 2.73, 4 Cl 2.93
Cl: 0.0000 0.0000 0.5709  4 Sb 3.08
Cl: 0.0000 0.5000 0.8463  4 As 2.93, 2 Sb 3.12
Cl: 0.5000 0.0000 0.3463  4 As 2.93, 2 Sb 3.12
Cl: 0.5000 0.5000 0.0709  4 Sb 3.08

Output
Formation energy from raw total energies (eV/f.u.): -0.5

---

## Nd2Dy12Th5 (PBE)

Data for Nd2Dy12Th5 after structural relaxation.

abc: 8.6497 8.6497 9.4083
angles: 109.77 109.77 84.51
Last column: nearest neighbours and their distance in Å.
Atoms (fractional coordinates):
Nd: 0.2141 0.7859 0.0000  6 Dy 3.38-3.58, 2 Th 3.59
Nd: 0.7859 0.2141 0.0000  6 Dy 3.38-3.58, 2 Th 3.59
Dy: 0.0318 0.5529 0.1941  4 Dy 3.26-3.51, 2 Th 3.35-3.53, 1 Nd 3.38
Dy: 0.0675 0.0675 0.7805  4 Dy 3.26-3.51, 2 Th 3.36-3.51, 2 Nd 3.58
Dy: 0.1439 0.6551 0.5963  5 Dy 3.38-3.76, 1 Nd 3.43, 4 Th 3.47-3.71
Dy: 0.3449 0.8561 0.4037  5 Dy 3.38-3.76, 1 Nd 3.43, 4 Th 3.47-3.71
Dy: 0.3936 0.3936 0.0756  4 Th 3.48-3.87, 6 Dy 3.60-3.81, 2 Nd 3.78
Dy: 0.4471 0.9682 0.8059  4 Dy 3.26-3.51, 2 Th 3.35-3.53, 1 Nd 3.38
Dy: 0.5529 0.0318 0.1941  4 Dy 3.26-3.51, 2 Th 3.35-3.53, 1 Nd 3.38
Dy: 0.6064 0.6064 0.9244  4 Th 3.48-3.87, 6 Dy 3.60-3.81, 2 Nd 3.78
Dy: 0.6551 0.1439 0.5963  5 Dy 3.38-3.76, 1 Nd 3.43, 4 Th 3.47-3.71
Dy: 0.8561 0.3449 0.4037  5 Dy 3.38-3.76, 1 Nd 3.43, 4 Th 3.47-3.71
Dy: 0.9325 0.9325 0.2195  4 Dy 3.26-3.51, 2 Th 3.36-3.51, 2 Nd 3.58
Dy: 0.9682 0.4471 0.8059  4 Dy 3.26-3.51, 2 Th 3.35-3.53, 1 Nd 3.38
Th: 0.2043 0.2043 0.2485  2 Th 3.30-3.43, 4 Dy 3.35-3.48, 2 Nd 3.59
Th: 0.2745 0.2745 0.6321  2 Th 3.30-3.63, 7 Dy 3.47-3.65
Th: 0.5000 0.5000 0.5000  4 Th 3.43-3.63, 6 Dy 3.52-3.58
Th: 0.7255 0.7255 0.3679  2 Th 3.30-3.63, 7 Dy 3.47-3.65
Th: 0.7957 0.7957 0.7515  2 Th 3.30-3.43, 4 Dy 3.35-3.48, 2 Nd 3.59

Output
ΔH_f (0 K) (meV per atom): 163

---

## SrTaAl2 (PBE)

Data for SrTaAl2 after structural relaxation.

abc: 3.0553 3.9786 7.1308
angles: 90.00 90.00 90.00
Last column: nearest neighbours and their distance in Å.
Atoms (fractional coordinates):
Sr: 0.0000 0.0000 0.0000  2 Sr 3.06, 8 Al 3.35
Ta: 0.0000 0.0000 0.5000  8 Al 2.85, 2 Ta 3.06
Al: 0.5000 0.5000 0.3108  1 Al 2.70, 4 Ta 2.85
Al: 0.5000 0.5000 0.6892  1 Al 2.70, 4 Ta 2.85

Output
ΔH_f (0 K) (meV per atom): -2

---

| no. | theoretical density (g/cm³) |
| --- | --- |
| 1 | 3.9 |
| 2 | 9.1 |
| 3 | 6.2 |